SrYTe2: PBEsol geometry, meta-GGA SCAN.

CIF file:
```
data_SrYTe2
_chemical_formula_sum 'Sr1 Y1 Te2'
_symmetry_space_group_name_H-M 'P 1'
_symmetry_Int_Tables_number 1
_cell_length_a 8.0865
_cell_length_b 8.0865
_cell_length_c 8.0865
_cell_angle_alpha 150.80
_cell_angle_beta 150.28
_cell_angle_gamma 42.15
loop_
_symmetry_equiv_pos_as_xyz
'x,y,z'
loop_
_atom_site_label
_atom_site_type_symbol
_atom_site_fract_x
_atom_site_fract_y
_atom_site_fract_z
Sr1 Sr 0.0000 0.0000 0.0000
Y1 Y 0.7494 0.2494 0.5000
Te1 Te 0.3274 0.8274 0.5000
Te2 Te 0.5989 0.5989 0.0000
```

Calculated values
M_tot (μB per formula unit): 0.898
Space-group type: Imm2
Raw formation energy (eV/atom): -1.537
Calculated volume (Å³/atom): 31.9
Crystal system: orthorhombic
Offset from the most stable computed form (meV/atom): 141.3